Entry from the Alexandria database: an optimized crystal structure of Cs2LiBiCl6 (GGA-PBE).

The calculation puts the energy relative to the elements, uncorrected at -1.61 eV per atom.

The space group is Fm-3m (No. 225) and the conventional cell measures 10.7555, 10.7555 and 10.7555 Å, with angles of 90.00, 90.00 and 90.00 degrees. Symmetry generates all atoms from Cs at (0.2500, 0.2500, 0.2500), Li at (0.0000, 0.0000, 0.0000), Bi at (0.0000, 0.0000, 0.5000) and Cl at (0.0000, 0.0000, 0.2463).

=====

Entry from the Alexandria database: an optimized crystal structure of CsMgBi2Cl8 (GGA-PBE).

The calculation puts the energy relative to the elements, uncorrected at -1.22 eV per atom.

The space group is P-1 (No. 2) and the conventional cell measures 6.3387, 6.5302 and 9.4424 Å, with angles of 91.18, 90.25 and 94.08 degrees. Symmetry generates all atoms from Cs at (0.0000, 0.0000, 0.0000), Mg at (0.0000, 0.0000, 0.5000), Bi at (0.4981, 0.4942, 0.2702), Cl at (0.2309, 0.1503, 0.3115), Cl at (0.2311, 0.1587, 0.6944), Cl at (0.2684, 0.6661, 0.5030) and Cl at (0.2724, 0.5892, 0.0482).

=====

Entry from the Alexandria database: an optimized crystal structure of CsMnBi2Cl8 (GGA-PBE).

The calculation puts the energy relative to the elements, uncorrected at -0.92 eV per atom.

The space group is R-3 (No. 148, hexagonal axes) and the conventional cell measures 6.8756, 6.8756 and 26.3755 Å, with angles of 90.00, 90.00 and 120.00 degrees. Symmetry generates all atoms from Cs at (0.0000, 0.0000, 0.0000), Mn at (0.0000, 0.0000, 0.5000), Bi at (0.0000, 0.0000, 0.2019), Cl at (0.0000, 0.0000, 0.2995) and Cl at (0.0211, 0.4293, 0.2143).

=====

Entry from the Alexandria database: an optimized crystal structure of Cs2MnBiCl6 (GGA-PBE).

The calculation puts the energy relative to the elements, uncorrected at -1.33 eV per atom.

The space group is I4/mmm (No. 139) and the conventional cell measures 7.6000, 7.6000 and 11.6491 Å, with angles of 90.00, 90.00 and 90.00 degrees. Symmetry generates all atoms from Cs at (0.0000, 0.5000, 0.2500), Mn at (0.0000, 0.0000, 0.0000), Bi at (0.0000, 0.0000, 0.5000), Cl at (0.0000, 0.0000, 0.2048) and Cl at (0.2450, 0.2450, 0.0000).

=====

Entry from the Alexandria database: an optimized crystal structure of Cs2BiNCl6 (GGA-PBE).

The calculation puts the energy relative to the elements, uncorrected at -0.73 eV per atom.

The space group is I4/mmm (No. 139) and the conventional cell measures 7.2899, 7.2899 and 11.8980 Å, with angles of 90.00, 90.00 and 90.00 degrees. Symmetry generates all atoms from Cs at (0.0000, 0.5000, 0.2500), Bi at (0.0000, 0.0000, 0.0000), N at (0.0000, 0.0000, 0.5000), Cl at (0.0000, 0.0000, 0.2265) and Cl at (0.2392, 0.2392, 0.5000).

=====

Entry from the Alexandria database: an optimized crystal structure of CsNaBi2Cl8 (GGA-PBE).

The calculation puts the energy relative to the elements, uncorrected at -1.27 eV per atom.

The space group is P-1 (No. 2) and the conventional cell measures 6.8937, 7.1628 and 8.9155 Å, with angles of 88.82, 89.20 and 82.87 degrees. Symmetry generates all atoms from Cs at (0.0000, 0.0000, 0.0000), Na at (0.0000, 0.0000, 0.5000), Bi at (0.4972, 0.5006, 0.2617), Cl at (0.2550, 0.8166, 0.7123), Cl at (0.2739, 0.8311, 0.2856), Cl at (0.2847, 0.3702, 0.4738) and Cl at (0.2920, 0.3858, 0.0406).

=====

Entry from the Alexandria database: an optimized crystal structure of Cs2NbBiCl6 (GGA-PBE).

The calculation puts the energy relative to the elements, uncorrected at -1.23 eV per atom.

The space group is I4/mmm (No. 139) and the conventional cell measures 7.4697, 7.4697 and 12.7176 Å, with angles of 90.00, 90.00 and 90.00 degrees. Symmetry generates all atoms from Cs at (0.0000, 0.5000, 0.2500), Nb at (0.0000, 0.0000, 0.0000), Bi at (0.0000, 0.0000, 0.5000), Cl at (0.0000, 0.0000, 0.1979) and Cl at (0.2392, 0.2392, 0.0000).

=====

Entry from the Alexandria database: an optimized crystal structure of Cs2NiBiCl6 (GGA-PBE).

The calculation puts the energy relative to the elements, uncorrected at -1.24 eV per atom.

The space group is I4/mmm (No. 139) and the conventional cell measures 7.4446, 7.4446 and 10.5105 Å, with angles of 90.00, 90.00 and 90.00 degrees. Symmetry generates all atoms from Cs at (0.0000, 0.5000, 0.2500), Ni at (0.0000, 0.0000, 0.0000), Bi at (0.0000, 0.0000, 0.5000), Cl at (0.0000, 0.0000, 0.2360) and Cl at (0.2368, 0.2368, 0.0000).